# 1
## BaLiCd2 (GGA-PBE)

Data for a relaxed structure of BaLiCd2.

Output
**DFT formation energy**: -0.242 eV/atom
**Crystal system**: monoclinic
**Energy above the lowest structure with this stoichiometry**: 2.23 kJ/mol of atoms
**Theoretical density**: 4.9 g cm⁻³

Lattice parameters (Å, degrees): 8.5371 4.9171 6.5462 90.00 115.67 90.00
Last column: nearest neighbours and their distance in Å.
Space group Cm (No. 8)
Inequivalent atoms, fractional coordinates:
Ba1 0.0000 0.0000 0.0000 (multiplicity 2)  4 Li 3.42-3.77, 4 Cd 3.53-3.70
Li1 0.1933 0.0000 0.5795 (multiplicity 2)  6 Cd 2.85-3.04
Cd1 0.0172 0.5000 0.5510 (multiplicity 2)  3 Li 2.85, 3 Cd 2.97-2.98
Cd2 0.3007 0.5000 0.4021 (multiplicity 2)  3 Cd 2.97-2.98, 3 Li 3.03-3.04



# 2
## Ba2Li4Cd (GGA-PBE)

Data for a relaxed structure of Ba2Li4Cd.

Output
**DFT formation energy**: 0.047 eV/atom
**Crystal system**: tetragonal
**Theoretical density**: 2.7 g cm⁻³

Lattice parameters (Å, degrees): 5.3043 5.3043 17.9827 90.00 90.00 90.00
Last column: nearest neighbours and their distance in Å.
Space group I4/mmm (No. 139)
Inequivalent atoms, fractional coordinates:
Ba1 0.0000 0.0000 0.1432 (multiplicity 4)  9 Li 3.70-3.76
Li1 0.0000 0.0000 0.3524 (multiplicity 4)  1 Cd 2.65
Li2 0.0000 0.5000 0.0000 (multiplicity 4)  2 Cd 2.65
Cd1 0.0000 0.0000 0.5000 (multiplicity 2)  6 Li 2.65



# 3
## BaLi2Cd (GGA-PBE)

Data for a relaxed structure of BaLi2Cd.

Output
**DFT formation energy**: -0.069 eV/atom
**Crystal system**: orthorhombic
**Theoretical density**: 3.6 g cm⁻³

Lattice parameters (Å, degrees): 4.0191 5.9108 10.2726 90.00 90.00 90.00
Last column: nearest neighbours and their distance in Å.
Space group Immm (No. 71)
Inequivalent atoms, fractional coordinates:
Ba1 0.0000 0.0000 0.0000 (multiplicity 2)  4 Cd 3.57, 8 Li 3.62-3.65
Li1 0.0000 0.5000 0.2037 (multiplicity 4)  2 Cd 2.90
Cd1 0.0000 0.0000 0.5000 (multiplicity 2)  4 Li 2.90



# 4
## BaLi2Cd (GGA-PBE)

Data for a relaxed structure of BaLi2Cd.

Output
**DFT formation energy**: -0.135 eV/atom
**Crystal system**: trigonal
**Theoretical density**: 3.6 g cm⁻³

Lattice parameters (Å, degrees): 4.8892 4.8892 17.8314 90.00 90.00 120.00
Last column: nearest neighbours and their distance in Å.
Space group R-3m (No. 166, hexagonal axes)
Inequivalent atoms, fractional coordinates:
Ba1 0.0000 0.0000 0.0000 (multiplicity 3)  8 Li 3.50-3.73
Li1 0.0000 0.0000 0.1965 (multiplicity 6)  3 Cd 2.87, 3 Li 3.02
Cd1 0.0000 0.0000 0.5000 (multiplicity 3)  6 Li 2.87